# 1
Density functional theory data (PBE-GGA) for an optimized crystal structure of Ca2Ac7Ir2.

Space-group type: No. 44
DFT formation energy: -253 meV/atom
Uncorrected energy: -53.269 eV for the cell shown
D(E_F): 1.2547 states/eV/atom

Unit cell a=11.385 b=11.385 c=11.385 alpha=159.57 beta=62.69 gamma=121.45
Atoms (fractional coordinates):
Ca1 0.000 0.000 0.000
Ca2 0.680 0.180 0.500
Ac1 0.308 0.653 0.655
Ac2 0.328 0.001 0.327
Ac3 0.361 0.361 0.000
Ac4 0.649 0.814 0.835
Ac5 0.675 0.001 0.673
Ac6 0.978 0.814 0.165
Ac7 0.997 0.653 0.345
Ir1 0.095 0.317 0.779
Ir2 0.538 0.317 0.221

---

# 2
Density functional theory data (PBE-GGA) for an optimized crystal structure of Ca3AcIr8.

Space-group type: No. 156
DFT formation energy: -482 meV/atom
Uncorrected energy: -86.785 eV for the cell shown
D(E_F): 0.6527 states/eV/atom

Unit cell a=5.407 b=5.407 c=8.884 alpha=90.00 beta=90.00 gamma=120.00
Atoms (fractional coordinates):
Ca1 0.000 0.000 0.000
Ca2 0.000 0.000 0.356
Ca3 0.333 0.667 0.872
Ac1 0.333 0.667 0.502
Ir1 0.005 0.503 0.179
Ir2 0.325 0.163 0.688
Ir3 0.497 0.503 0.179
Ir4 0.497 0.995 0.179
Ir5 0.667 0.333 0.430
Ir6 0.667 0.333 0.932
Ir7 0.837 0.163 0.688
Ir8 0.837 0.675 0.688

---

# 3
Density functional theory data (PBE-GGA) for an optimized crystal structure of CaAc8Ir6.

Space-group type: No. 148
DFT formation energy: -501 meV/atom
Uncorrected energy: -95.551 eV for the cell shown
D(E_F): 0.5105 states/eV/atom

Unit cell a=11.050 b=11.050 c=11.050 alpha=40.01 beta=40.01 gamma=40.01
Atoms (fractional coordinates):
Ca1 0.000 0.000 0.000
Ac1 0.107 0.771 0.441
Ac2 0.229 0.559 0.893
Ac3 0.333 0.333 0.333
Ac4 0.441 0.107 0.771
Ac5 0.559 0.893 0.229
Ac6 0.667 0.667 0.667
Ac7 0.771 0.441 0.107
Ac8 0.893 0.229 0.559
Ir1 0.059 0.391 0.727
Ir2 0.273 0.941 0.609
Ir3 0.391 0.727 0.059
Ir4 0.609 0.273 0.941
Ir5 0.727 0.059 0.391
Ir6 0.941 0.609 0.273

---

# 4
Density functional theory data (PBE-GGA) for an optimized crystal structure of CaAcIr.

Space-group type: No. 107
DFT formation energy: -337 meV/atom
Excess energy over the best structure of this formula in the dataset: 2.73 kcal/mol of atoms
Uncorrected energy: -15.982 eV for the cell shown
D(E_F): 0.5071 states/eV/atom

Unit cell a=7.363 b=7.363 c=7.363 alpha=151.21 beta=151.21 gamma=41.17
Atoms (fractional coordinates):
Ca1 0.000 0.000 0.000
Ac1 0.246 0.246 0.000
Ir1 0.628 0.628 0.000

---

# 5
Density functional theory data (PBE-GGA) for an optimized crystal structure of CaAc5Ir4.

Space-group type: No. 12
DFT formation energy: -452 meV/atom
Excess energy over the best structure of this formula in the dataset: 1.48 kcal/mol of atoms
Uncorrected energy: -62.503 eV for the cell shown
D(E_F): 0.4554 states/eV/atom

Unit cell a=9.532 b=9.532 c=8.427 alpha=104.94 beta=104.94 gamma=26.47
Atoms (fractional coordinates):
Ca1 0.000 0.000 0.000
Ac1 0.000 0.000 0.500
Ac2 0.336 0.336 0.141
Ac3 0.339 0.339 0.669
Ac4 0.661 0.661 0.331
Ac5 0.664 0.664 0.859
Ir1 0.175 0.175 0.113
Ir2 0.500 0.500 0.259
Ir3 0.500 0.500 0.741
Ir4 0.825 0.825 0.887

---

# 6
Density functional theory data (PBE-GGA) for an optimized crystal structure of Ca2Ac3Ir2.

Space-group type: No. 12
DFT formation energy: -430 meV/atom
Uncorrected energy: -37.060 eV for the cell shown
D(E_F): 0.6961 states/eV/atom

Unit cell a=6.976 b=6.976 c=9.678 alpha=116.18 beta=116.18 gamma=33.87
Atoms (fractional coordinates):
Ca1 0.184 0.184 0.310
Ca2 0.816 0.816 0.690
Ac1 0.383 0.383 0.069
Ac2 0.500 0.500 0.500
Ac3 0.617 0.617 0.931
Ir1 0.174 0.174 0.749
Ir2 0.826 0.826 0.251

---

# 7
Density functional theory data (PBE-GGA) for an optimized crystal structure of CaAc8Ir4.

Space-group type: No. 8
DFT formation energy: -535 meV/atom
Uncorrected energy: -77.266 eV for the cell shown
D(E_F): 0.7221 states/eV/atom

Unit cell a=10.800 b=10.800 c=14.399 alpha=129.98 beta=129.98 gamma=23.58
Atoms (fractional coordinates):
Ca1 0.000 0.000 0.000
Ac1 0.041 0.041 0.739
Ac2 0.291 0.291 0.929
Ac3 0.333 0.333 0.655
Ac4 0.366 0.366 0.409
Ac5 0.633 0.633 0.590
Ac6 0.666 0.666 0.345
Ac7 0.709 0.709 0.070
Ac8 0.958 0.958 0.261
Ir1 0.144 0.144 0.462
Ir2 0.336 0.336 0.175
Ir3 0.664 0.664 0.824
Ir4 0.855 0.855 0.537

---

# 8
Density functional theory data (PBE-GGA) for an optimized crystal structure of Ca2Ac3Ir.

Space-group type: No. 63
DFT formation energy: -237 meV/atom
Uncorrected energy: -53.229 eV for the cell shown
D(E_F): 1.2635 states/eV/atom

Unit cell a=10.289 b=10.289 c=8.308 alpha=90.00 beta=90.00 gamma=34.48
Atoms (fractional coordinates):
Ca1 0.199 0.199 0.250
Ca2 0.199 0.199 0.750
Ca3 0.801 0.801 0.250
Ca4 0.801 0.801 0.750
Ac1 0.001 0.999 0.750
Ac2 0.393 0.393 0.000
Ac3 0.393 0.393 0.500
Ac4 0.607 0.607 0.000
Ac5 0.607 0.607 0.500
Ac6 0.999 0.001 0.250
Ir1 0.499 0.501 0.250
Ir2 0.501 0.499 0.750

---

# 9
Density functional theory data (PBE-GGA) for an optimized crystal structure of Ca2Ac2Ir.

Space-group type: No. 123
DFT formation energy: -317 meV/atom
Uncorrected energy: -22.668 eV for the cell shown
D(E_F): 0.6822 states/eV/atom

Unit cell a=5.864 b=5.864 c=5.796 alpha=90.00 beta=90.00 gamma=90.00
Atoms (fractional coordinates):
Ca1 0.000 0.000 0.000
Ca2 0.500 0.500 0.000
Ac1 0.000 0.500 0.500
Ac2 0.500 0.000 0.500
Ir1 0.000 0.000 0.500

---

# 10
Density functional theory data (PBE-GGA) for an optimized crystal structure of CaAc8Ir5.

Space-group type: No. 12
DFT formation energy: -549 meV/atom
Uncorrected energy: -86.857 eV for the cell shown
D(E_F): 0.6454 states/eV/atom

Unit cell a=11.531 b=11.531 c=10.597 alpha=103.46 beta=103.46 gamma=22.03
Atoms (fractional coordinates):
Ca1 0.000 0.000 0.000
Ac1 0.073 0.073 0.656
Ac2 0.261 0.261 0.343
Ac3 0.324 0.324 0.009
Ac4 0.407 0.407 0.656
Ac5 0.593 0.593 0.344
Ac6 0.676 0.676 0.991
Ac7 0.739 0.739 0.657
Ac8 0.927 0.927 0.344
Ir1 0.164 0.164 0.495
Ir2 0.201 0.201 0.823
Ir3 0.500 0.500 0.500
Ir4 0.799 0.799 0.177
Ir5 0.836 0.836 0.505

---

# 11
Density functional theory data (PBE-GGA) for an optimized crystal structure of CaAcIr2.

Space-group type: No. 225
DFT formation energy: -263 meV/atom
Excess energy over the best structure of this formula in the dataset: 0.18 kcal/mol of atoms
Uncorrected energy: -24.885 eV for the cell shown
D(E_F): 0.5993 states/eV/atom

Unit cell a=5.059 b=5.059 c=5.059 alpha=60.00 beta=60.00 gamma=60.00
Atoms (fractional coordinates):
Ca1 0.000 0.000 0.000
Ac1 0.500 0.500 0.500
Ir1 0.250 0.250 0.250
Ir2 0.750 0.750 0.750

---

# 12
Density functional theory data (PBE-GGA) for an optimized crystal structure of CaAcIr.

Space-group type: No. 216
DFT formation energy: -455 meV/atom
Excess energy over the best structure of this formula in the dataset: 0.00 kcal/mol of atoms
Uncorrected energy: -16.337 eV for the cell shown
D(E_F): 0.3251 states/eV/atom

Unit cell a=5.057 b=5.057 c=5.057 alpha=60.00 beta=60.00 gamma=60.00
Atoms (fractional coordinates):
Ca1 0.000 0.000 0.000
Ac1 0.500 0.500 0.500
Ir1 0.250 0.250 0.250

---

# 13
Density functional theory data (PBE-GGA) for an optimized crystal structure of CaAc3Ir2.

Space-group type: No. 12
DFT formation energy: -505 meV/atom
Excess energy over the best structure of this formula in the dataset: 0.20 kcal/mol of atoms
Uncorrected energy: -70.161 eV for the cell shown
D(E_F): 0.6835 states/eV/atom

Unit cell a=9.352 b=9.352 c=13.381 alpha=123.96 beta=123.96 gamma=27.14
Atoms (fractional coordinates):
Ca1 0.061 0.061 0.198
Ca2 0.939 0.939 0.802
Ac1 0.188 0.188 0.553
Ac2 0.314 0.314 0.946
Ac3 0.441 0.441 0.306
Ac4 0.559 0.559 0.694
Ac5 0.686 0.686 0.054
Ac6 0.812 0.812 0.447
Ir1 0.126 0.126 0.875
Ir2 0.374 0.374 0.626
Ir3 0.626 0.626 0.374
Ir4 0.874 0.874 0.125

---

# 14
Density functional theory data (PBE-GGA) for an optimized crystal structure of Ca2AcIr9.

Space-group type: No. 166
DFT formation energy: -339 meV/atom
Uncorrected energy: -91.929 eV for the cell shown
D(E_F): 1.1243 states/eV/atom

Unit cell a=9.260 b=9.260 c=9.260 alpha=34.03 beta=34.03 gamma=34.03
Atoms (fractional coordinates):
Ca1 0.142 0.142 0.142
Ca2 0.858 0.858 0.858
Ac1 0.000 0.000 0.000
Ir1 0.084 0.581 0.581
Ir2 0.333 0.333 0.333
Ir3 0.419 0.419 0.916
Ir4 0.419 0.916 0.419
Ir5 0.500 0.500 0.500
Ir6 0.581 0.084 0.581
Ir7 0.581 0.581 0.084
Ir8 0.667 0.667 0.667
Ir9 0.916 0.419 0.419

---

# 15
Density functional theory data (PBE-GGA) for an optimized crystal structure of CaAc7Ir3.

Space-group type: No. 156
DFT formation energy: -419 meV/atom
Uncorrected energy: -61.953 eV for the cell shown
D(E_F): 1.0406 states/eV/atom

Unit cell a=8.617 b=8.617 c=6.858 alpha=90.00 beta=90.00 gamma=120.00
Atoms (fractional coordinates):
Ca1 0.000 0.000 0.000
Ac1 0.005 0.503 0.004
Ac2 0.326 0.163 0.534
Ac3 0.333 0.667 0.541
Ac4 0.497 0.503 0.004
Ac5 0.497 0.995 0.004
Ac6 0.837 0.163 0.534
Ac7 0.837 0.674 0.534
Ir1 0.166 0.332 0.770
Ir2 0.166 0.834 0.770
Ir3 0.668 0.834 0.770

---

# 16
Density functional theory data (PBE-GGA) for an optimized crystal structure of CaAc5Ir4.

Space-group type: No. 12
DFT formation energy: -516 meV/atom
Excess energy over the best structure of this formula in the dataset: 0.00 kcal/mol of atoms
Uncorrected energy: -63.145 eV for the cell shown
D(E_F): 0.6341 states/eV/atom

Unit cell a=10.020 b=10.020 c=7.904 alpha=113.20 beta=113.20 gamma=25.77
Atoms (fractional coordinates):
Ca1 0.000 0.000 0.000
Ac1 0.000 0.000 0.500
Ac2 0.338 0.338 0.093
Ac3 0.338 0.338 0.584
Ac4 0.662 0.662 0.416
Ac5 0.662 0.662 0.907
Ir1 0.199 0.199 0.699
Ir2 0.500 0.500 0.233
Ir3 0.500 0.500 0.767
Ir4 0.801 0.801 0.301

---

# 17
Density functional theory data (PBE-GGA) for an optimized crystal structure of CaAc4Ir2.

Space-group type: No. 166
DFT formation energy: -487 meV/atom
Excess energy over the best structure of this formula in the dataset: 0.00 kcal/mol of atoms
Uncorrected energy: -39.563 eV for the cell shown
D(E_F): 0.9305 states/eV/atom

Unit cell a=16.899 b=16.899 c=16.899 alpha=14.90 beta=14.90 gamma=14.90
Atoms (fractional coordinates):
Ca1 0.000 0.000 0.000
Ac1 0.204 0.204 0.204
Ac2 0.400 0.400 0.400
Ac3 0.600 0.600 0.600
Ac4 0.796 0.796 0.796
Ir1 0.098 0.098 0.098
Ir2 0.902 0.902 0.902

---

# 18
Density functional theory data (PBE-GGA) for an optimized crystal structure of CaAc3Ir4.

Space-group type: No. 12
DFT formation energy: -338 meV/atom
Uncorrected energy: -52.474 eV for the cell shown
D(E_F): 0.5282 states/eV/atom

Unit cell a=9.117 b=9.117 c=6.118 alpha=109.53 beta=109.53 gamma=27.59
Atoms (fractional coordinates):
Ca1 0.000 0.000 0.000
Ac1 0.301 0.301 0.801
Ac2 0.500 0.500 0.500
Ac3 0.699 0.699 0.199
Ir1 0.127 0.127 0.419
Ir2 0.128 0.128 0.838
Ir3 0.872 0.872 0.162
Ir4 0.873 0.873 0.581

---

# 19
Density functional theory data (PBE-GGA) for an optimized crystal structure of Ca3Ac3Ir.

Space-group type: No. 148
DFT formation energy: -216 meV/atom
Uncorrected energy: -57.399 eV for the cell shown
D(E_F): 1.2313 states/eV/atom

Unit cell a=13.963 b=13.963 c=13.963 alpha=29.84 beta=29.84 gamma=29.84
Atoms (fractional coordinates):
Ca1 0.128 0.458 0.797
Ca2 0.203 0.872 0.542
Ca3 0.458 0.797 0.128
Ca4 0.542 0.203 0.872
Ca5 0.797 0.128 0.458
Ca6 0.872 0.542 0.203
Ac1 0.043 0.709 0.377
Ac2 0.291 0.623 0.957
Ac3 0.377 0.043 0.709
Ac4 0.623 0.957 0.291
Ac5 0.709 0.377 0.043
Ac6 0.957 0.291 0.623
Ir1 0.333 0.333 0.333
Ir2 0.667 0.667 0.667

---

# 20
Density functional theory data (PBE-GGA) for an optimized crystal structure of CaAc4Ir.

Space-group type: No. 12
DFT formation energy: -206 meV/atom
Uncorrected energy: -57.066 eV for the cell shown
D(E_F): 1.1909 states/eV/atom

Unit cell a=10.267 b=10.267 c=6.878 alpha=106.82 beta=106.82 gamma=46.23
Atoms (fractional coordinates):
Ca1 0.195 0.195 0.188
Ca2 0.805 0.805 0.812
Ac1 0.139 0.639 0.379
Ac2 0.253 0.747 0.000
Ac3 0.318 0.318 0.794
Ac4 0.361 0.861 0.621
Ac5 0.639 0.139 0.379
Ac6 0.682 0.682 0.206
Ac7 0.747 0.253 0.000
Ac8 0.861 0.361 0.621
Ir1 0.467 0.467 0.669
Ir2 0.533 0.533 0.331